Here is a relaxed Zr13In3 crystal from Alexandria via LeMat-Bulk. Energies are from PBE-GGA.

abc: 8.5861 9.1888 9.2684
angles: 90.00 90.00 90.00
Space group Amm2 (No. 38)
Symmetry-distinct sites (fractional):
Zr  0.0000  0.0000  0.0001 (multiplicity 2)
Zr  0.0000  0.0000  0.5040 (multiplicity 2)
Zr  0.0000  0.2449  0.2491 (multiplicity 4)
Zr  0.2431  0.0000  0.7528 (multiplicity 4)
Zr  0.2540  0.2500  0.0000 (multiplicity 8)
Zr  0.5000  0.0000  0.5018 (multiplicity 2)
Zr  0.5000  0.2454  0.7528 (multiplicity 4)
In  0.2509  0.0000  0.2530 (multiplicity 4)
In  0.5000  0.0000  0.9981 (multiplicity 2)

Output
Energy of formation = -0.114 eV per atom
VASP energy = -7.573 eV per atom

***

Here is a relaxed Zr2In crystal from Alexandria via LeMat-Bulk. Energies are from PBE-GGA.

abc: 11.5865 3.2310 7.6304
angles: 90.00 105.33 90.00
Space group Cm (No. 8)
Symmetry-distinct sites (fractional):
Zr  0.0000  0.0000  0.0000 (multiplicity 2)
Zr  0.0424  0.0000  0.6018 (multiplicity 2)
Zr  0.2208  0.5000  0.9432 (multiplicity 2)
Zr  0.3821  0.0000  0.2752 (multiplicity 2)
In  0.1595  0.5000  0.3295 (multiplicity 2)
In  0.3242  0.0000  0.6638 (multiplicity 2)

Output
Energy of formation = -0.133 eV per atom
VASP energy = -6.744 eV per atom

***

Here is a relaxed Zr3In2 crystal from Alexandria via LeMat-Bulk. Energies are from PBE-GGA.

abc: 11.1161 4.2026 10.2729
angles: 90.00 90.00 90.00
Space group Pnma (No. 62)
Symmetry-distinct sites (fractional):
Zr  0.0525  0.2500  0.0981 (multiplicity 4)
Zr  0.0684  0.7500  0.5906 (multiplicity 4)
Zr  0.1403  0.2500  0.7991 (multiplicity 4)
In  0.1031  0.7500  0.3023 (multiplicity 4)
In  0.2432  0.7500  0.0025 (multiplicity 4)

Output
Energy of formation = -0.046 eV per atom
VASP energy = -6.270 eV per atom

***

Here is a relaxed Zr4In5 crystal from Alexandria via LeMat-Bulk. Energies are from PBE-GGA.

abc: 8.8842 8.8842 5.9863
angles: 90.00 90.00 120.00
Space group P6_3/mcm (No. 193)
Symmetry-distinct sites (fractional):
Zr  0.0000  0.0000  0.0000 (multiplicity 2)
Zr  0.0000  0.3689  0.2500 (multiplicity 6)
In  0.0000  0.2953  0.7500 (multiplicity 6)
In  0.3333  0.6667  0.0000 (multiplicity 4)

Output
Energy of formation = -0.193 eV per atom
VASP energy = -5.514 eV per atom

***

Here is a relaxed Zr2In crystal from Alexandria via LeMat-Bulk. Energies are from PBE-GGA.

abc: 4.4316 4.4316 4.0120
angles: 90.00 90.00 90.00
Space group P4/mmm (No. 123)
Symmetry-distinct sites (fractional):
Zr  0.0000  0.5000  0.0000 (multiplicity 2)
In  0.0000  0.0000  0.5000 (multiplicity 1)

Output
Energy of formation = 0.290 eV per atom
VASP energy = -6.322 eV per atom

***

Here is a relaxed Zr2In crystal from Alexandria via LeMat-Bulk. Energies are from PBE-GGA.

abc: 6.8316 6.8316 6.8316
angles: 90.00 90.00 90.00
Space group Pa-3 (No. 205)
Symmetry-distinct sites (fractional):
Zr  0.1351  0.1351  0.1351 (multiplicity 8)
In  0.0000  0.0000  0.5000 (multiplicity 4)

Output
Energy of formation = 0.494 eV per atom
VASP energy = -6.117 eV per atom

***

Here is a relaxed Zr5In3 crystal from Alexandria via LeMat-Bulk. Energies are from PBE-GGA.

abc: 8.8924 9.0313 4.4687
angles: 90.00 90.00 90.00
Space group Cmmm (No. 65)
Symmetry-distinct sites (fractional):
Zr  0.0000  0.0000  0.0000 (multiplicity 2)
Zr  0.0000  0.2399  0.5000 (multiplicity 4)
Zr  0.2500  0.2500  0.0000 (multiplicity 4)
In  0.0000  0.5000  0.0000 (multiplicity 2)
In  0.2495  0.5000  0.5000 (multiplicity 4)

Output
Offset from the most stable computed form = 0.000 eV/atom
Energy of formation = -0.242 eV per atom
VASP energy = -6.611 eV per atom

***

Here is a relaxed Zr2In crystal from Alexandria via LeMat-Bulk. Energies are from PBE-GGA.

abc: 8.2526 8.2526 8.2526
angles: 90.00 90.00 90.00
Space group Fd-3m (No. 227, origin choice 2)
Symmetry-distinct sites (fractional):
Zr  0.0000  0.0000  0.0000 (multiplicity 16)
In  0.1250  0.1250  0.6250 (multiplicity 8)

Output
Energy of formation = 0.138 eV per atom
VASP energy = -6.473 eV per atom

***

Here is a relaxed Zr4In crystal from Alexandria via LeMat-Bulk. Energies are from PBE-GGA.

abc: 6.2605 7.7878 5.3116
angles: 90.00 90.00 90.00
Space group Pmna (No. 53)
Symmetry-distinct sites (fractional):
Zr  0.0000  0.1428  0.2483 (multiplicity 4)
Zr  0.2500  0.1959  0.7500 (multiplicity 4)
In  0.0000  0.5000  0.5000 (multiplicity 2)

Output
Offset from the most stable computed form = 0.303 eV/atom
Energy of formation = 0.211 eV per atom
VASP energy = -7.175 eV per atom

***

Here is a relaxed Zr5In3 crystal from Alexandria via LeMat-Bulk. Energies are from PBE-GGA.

abc: 6.4769 8.6035 12.9154
angles: 90.00 90.00 90.00
Space group Fmmm (No. 69)
Symmetry-distinct sites (fractional):
Zr  0.0000  0.0000  0.0000 (multiplicity 4)
Zr  0.2500  0.2500  0.1236 (multiplicity 16)
In  0.0000  0.0000  0.2459 (multiplicity 8)
In  0.0000  0.0000  0.5000 (multiplicity 4)

Output
Offset from the most stable computed form = 0.009 eV/atom
Energy of formation = -0.232 eV per atom
VASP energy = -6.602 eV per atom

***

Here is a relaxed Zr2In crystal from Alexandria via LeMat-Bulk. Energies are from PBE-GGA.

abc: 3.3072 3.3072 7.4961
angles: 90.00 90.00 120.00
Space group P-3m1 (No. 164)
Symmetry-distinct sites (fractional):
Zr  0.3333  0.6667  0.3377 (multiplicity 2)
In  0.0000  0.0000  0.0000 (multiplicity 1)

Output
Energy of formation = -0.128 eV per atom
VASP energy = -6.739 eV per atom

***

Here is a relaxed Zr4In crystal from Alexandria via LeMat-Bulk. Energies are from PBE-GGA.

abc: 4.8846 6.1960 14.9446
angles: 90.00 90.00 90.00
Space group Imma (No. 74)
Symmetry-distinct sites (fractional):
Zr  0.0000  0.0000  0.0000 (multiplicity 4)
Zr  0.0000  0.0034  0.1982 (multiplicity 8)
Zr  0.0000  0.2500  0.3982 (multiplicity 4)
In  0.0000  0.2500  0.6086 (multiplicity 4)

Output
Offset from the most stable computed form = 0.000 eV/atom
Energy of formation = -0.092 eV per atom
VASP energy = -7.478 eV per atom